Record 1
A geometry-optimized CaHf2MgRh structure, computed with PBE-GGA.

It has space group P4/mmm (No. 123), with a = 5.0041 Å, b = 5.0041 Å, c = 5.1934 Å, α = 90.00°, β = 90.00° and γ = 90.00°. The asymmetric unit holds Ca at (0.0000, 0.0000, 0.0000), Hf at (0.0000, 0.5000, 0.5000), Mg at (0.5000, 0.5000, 0.0000) and Rh at (0.5000, 0.5000, 0.5000).

The formation energy comes out at 0.05 eV/atom. Its total energy is -6.118 eV/atom.

=====

Record 2
A geometry-optimized CePaBe structure, computed with PBE-GGA.

It has space group I4mm (No. 107), with a = 2.9800 Å, b = 2.9800 Å, c = 13.6473 Å, α = 90.00°, β = 90.00° and γ = 90.00°. The asymmetric unit holds Ce at (0.0000, 0.0000, 0.0000), Pa at (0.0000, 0.0000, 0.7066) and Be at (0.0000, 0.0000, 0.3480).

The energy above the most stable polymorph in this dataset comes out at 20 meV per atom. The formation energy comes out at 0.21 eV/atom. Its total energy is -6.177 eV/atom.

=====

Record 3
A geometry-optimized TaAs structure, computed with PBE-GGA.

It has space group Pm-3m (No. 221), with a = 3.2157 Å, b = 3.2157 Å, c = 3.2157 Å, α = 90.00°, β = 90.00° and γ = 90.00°. The asymmetric unit holds Ta at (0.0000, 0.0000, 0.0000) and As at (0.5000, 0.5000, 0.5000).

The formation energy comes out at -0.28 eV/atom. Its total energy is -8.533 eV/atom.

=====

Record 4
A geometry-optimized LuHfBi2 structure, computed with PBE-GGA.

It has space group R-3m (No. 166, hexagonal axes), with a = 4.2837 Å, b = 4.2837 Å, c = 21.3242 Å, α = 90.00°, β = 90.00° and γ = 120.00°. The asymmetric unit holds Lu at (0.0000, 0.0000, 0.0000), Hf at (0.0000, 0.0000, 0.5000) and Bi at (0.0000, 0.0000, 0.2467).

The formation energy comes out at -0.32 eV/atom. Its total energy is -5.879 eV/atom.

=====

Record 5
A geometry-optimized SrCaAcPr structure, computed with PBE-GGA.

It has space group P4mm (No. 99), with a = 3.9593 Å, b = 3.9593 Å, c = 11.2078 Å, α = 90.00°, β = 90.00° and γ = 90.00°. The asymmetric unit holds Sr at (0.0000, 0.0000, 0.0000), Ca at (0.5000, 0.5000, 0.7314), Ac at (0.0000, 0.0000, 0.4780) and Pr at (0.5000, 0.5000, 0.2566).

The energy above the most stable polymorph in this dataset comes out at 0 meV per atom. The formation energy comes out at 0.04 eV/atom. Its total energy is -3.106 eV/atom.

=====

Record 6
A geometry-optimized CaCeSi2Ir2 structure, computed with PBE-GGA.

It has space group P-3m1 (No. 164), with a = 4.1165 Å, b = 4.1165 Å, c = 8.4102 Å, α = 90.00°, β = 90.00° and γ = 120.00°. The asymmetric unit holds Ca at (0.0000, 0.0000, 0.0000), Ce at (0.0000, 0.0000, 0.5000), Si at (0.3333, 0.6667, 0.7514) and Ir at (0.3333, 0.6667, 0.2705).

For the formation energy from raw total energies, the calculation gives -0.83 eV per atom. Its total energy is -6.917 eV/atom.

=====

Question: Number 1 is which compound?
Answer: CaHf2MgRh